Here is a geometry-optimized Co2NiAu structure from Alexandria via LeMat-Bulk. Energies are from GGA-PBEsol.

Values from the calculation:
The calculation puts the energy relative to the elements at 203 meV/atom. Its space-group type is No. 160. The value obtained for the volume is 49.5 Å³/f.u. The magnetization is 3.93 μB per formula unit. For the density of states at the Fermi level, the calculation gives 3.9 states/eV per cell.

Cell and atoms, written as extended XYZ:
```
4
Lattice="1.312 0.757 8.296 -1.312 0.757 8.296 0.000 -1.515 8.296" Properties=species:S:1:pos:R:3 pbc="T T T"
Co 0.000 0.000 0.000
Co 0.000 0.000 6.441
Ni 0.000 0.000 18.502
Au 0.000 0.000 12.456
```